(1)
Here is a relaxed Ba8PtRh3Br4 crystal from Alexandria. Energies are from PBE.

```
data_Ba8PtRh3Br4
_space_group_name_H-M_alt 'R -3 m'
_space_group_IT_number 166
_space_group_name_Hall '-R 3 2"'
_cell_length_a 9.1441
_cell_length_b 9.1441
_cell_length_c 24.4747
_cell_angle_alpha 90.00
_cell_angle_beta 90.00
_cell_angle_gamma 120.00
loop_
_atom_site_label
_atom_site_fract_x
_atom_site_fract_y
_atom_site_fract_z
Ba1 0.0000 0.0000 0.2373
Ba2 0.0073 0.5037 0.7632
Pt1 0.0000 0.0000 0.5000
Rh1 0.0000 0.5000 0.5000
Br1 0.0000 0.0000 0.0000
Br2 0.0000 0.5000 0.0000
```

Computed properties:
Formation energy from raw total energies, kJ/mol of atoms: -98.14
E, eV/atom: -4.153
Crystal system: trigonal

=====

(2)
Here is a relaxed Ba8Pt3RhBr4 crystal from Alexandria. Energies are from PBE.

```
data_Ba8Pt3RhBr4
_space_group_name_H-M_alt 'R -3 m'
_space_group_IT_number 166
_space_group_name_Hall '-R 3 2"'
_cell_length_a 9.1346
_cell_length_b 9.1346
_cell_length_c 24.8214
_cell_angle_alpha 90.00
_cell_angle_beta 90.00
_cell_angle_gamma 120.00
loop_
_atom_site_label
_atom_site_fract_x
_atom_site_fract_y
_atom_site_fract_z
Ba1 0.0000 0.0000 0.2374
Ba2 0.0064 0.5032 0.2373
Pt1 0.0000 0.5000 0.5000
Rh1 0.0000 0.0000 0.5000
Br1 0.0000 0.0000 0.0000
Br2 0.0000 0.5000 0.0000
```

Computed properties:
Formation energy from raw total energies, kJ/mol of atoms: -115.66
E, eV/atom: -4.170
Crystal system: trigonal

=====

(3)
Here is a relaxed Ba6PtS2Br3 crystal from Alexandria. Energies are from PBE.

```
data_Ba6PtS2Br3
_space_group_name_H-M_alt 'C 1 2/m 1'
_space_group_IT_number 12
_space_group_name_Hall '-C 2y'
_cell_length_a 8.079
_cell_length_b 13.990
_cell_length_c 8.361
_cell_angle_alpha 90.00
_cell_angle_beta 108.80
_cell_angle_gamma 90.00
loop_
_atom_site_label
_atom_site_fract_x
_atom_site_fract_y
_atom_site_fract_z
Ba1 0.234 0.163 0.213
Ba2 0.243 0.500 0.215
Pt1 0.000 0.000 0.000
S1 0.000 0.333 0.000
Br1 0.000 0.171 0.500
Br2 0.000 0.500 0.500
```

Computed properties:
Formation energy from raw total energies, kJ/mol of atoms: -158.52
E, eV/atom: -4.214
Crystal system: monoclinic

=====

(4)
Here is a relaxed Ba4PtS2Br crystal from Alexandria. Energies are from PBE.

```
data_Ba4PtS2Br
_space_group_name_H-M_alt 'P 1 2/m 1'
_space_group_IT_number 10
_space_group_name_Hall '-P 2y'
_cell_length_a 7.991
_cell_length_b 4.567
_cell_length_c 8.036
_cell_angle_alpha 90.00
_cell_angle_beta 107.83
_cell_angle_gamma 90.00
loop_
_atom_site_label
_atom_site_fract_x
_atom_site_fract_y
_atom_site_fract_z
Ba1 0.237 0.000 0.227
Ba2 0.240 0.500 0.756
Pt1 0.500 0.000 0.000
S1 0.000 0.000 0.500
S2 0.000 0.500 0.000
Br1 0.500 0.500 0.500
```

Computed properties:
Formation energy from raw total energies, kJ/mol of atoms: -156.01
E, eV/atom: -4.574
Crystal system: monoclinic

=====

(5)
Here is a relaxed Ba8Pt3SBr4 crystal from Alexandria. Energies are from PBE.

```
data_Ba8Pt3SBr4
_space_group_name_H-M_alt 'R -3 m'
_space_group_IT_number 166
_space_group_name_Hall '-R 3 2"'
_cell_length_a 9.2098
_cell_length_b 9.2098
_cell_length_c 24.6428
_cell_angle_alpha 90.00
_cell_angle_beta 90.00
_cell_angle_gamma 120.00
loop_
_atom_site_label
_atom_site_fract_x
_atom_site_fract_y
_atom_site_fract_z
Ba1 0.0000 0.0000 0.2393
Ba2 0.0038 0.5019 0.7634
Pt1 0.0000 0.5000 0.5000
S1 0.0000 0.0000 0.5000
Br1 0.0000 0.0000 0.0000
Br2 0.0000 0.5000 0.0000
```

Computed properties:
Formation energy from raw total energies, kJ/mol of atoms: -136.60
E, eV/atom: -4.186
Crystal system: trigonal

=====

(6)
Here is a relaxed Ba6Pt2S3Br crystal from Alexandria. Energies are from PBE.

```
data_Ba6Pt2S3Br
_space_group_name_H-M_alt 'C 1 2/m 1'
_space_group_IT_number 12
_space_group_name_Hall '-C 2y'
_cell_length_a 20.040
_cell_length_b 4.563
_cell_length_c 9.357
_cell_angle_alpha 90.00
_cell_angle_beta 103.88
_cell_angle_gamma 90.00
loop_
_atom_site_label
_atom_site_fract_x
_atom_site_fract_y
_atom_site_fract_z
Ba1 0.002 0.000 0.271
Ba2 0.169 0.500 0.586
Ba3 0.175 0.500 0.091
Pt1 0.164 0.000 0.331
S1 0.000 0.500 0.500
S2 0.161 0.000 0.837
Br1 0.000 0.500 0.000
```

Computed properties:
Formation energy from raw total energies, kJ/mol of atoms: -148.65
E, eV/atom: -4.680
Crystal system: monoclinic

=====

(7)
Here is a relaxed Ba8SbPt3Br4 crystal from Alexandria. Energies are from PBE.

```
data_Ba8SbPt3Br4
_space_group_name_H-M_alt 'R -3 m'
_space_group_IT_number 166
_space_group_name_Hall '-R 3 2"'
_cell_length_a 9.4199
_cell_length_b 9.4199
_cell_length_c 24.6458
_cell_angle_alpha 90.00
_cell_angle_beta 90.00
_cell_angle_gamma 120.00
loop_
_atom_site_label
_atom_site_fract_x
_atom_site_fract_y
_atom_site_fract_z
Ba1 0.0000 0.0000 0.2404
Ba2 0.0165 0.5082 0.7618
Sb1 0.0000 0.0000 0.5000
Pt1 0.0000 0.5000 0.5000
Br1 0.0000 0.0000 0.0000
Br2 0.0000 0.5000 0.0000
```

Computed properties:
Formation energy from raw total energies, kJ/mol of atoms: -126.43
E, eV/atom: -4.080
Crystal system: trigonal

=====

(8)
Here is a relaxed BaPtSe2Br crystal from Alexandria. Energies are from PBE.

```
data_BaPtSe2Br
_space_group_name_H-M_alt 'P 4/m m m'
_space_group_IT_number 123
_space_group_name_Hall '-P 4 2'
_cell_length_a 5.106
_cell_length_b 5.106
_cell_length_c 5.253
_cell_angle_alpha 90.00
_cell_angle_beta 90.00
_cell_angle_gamma 90.00
loop_
_atom_site_label
_atom_site_fract_x
_atom_site_fract_y
_atom_site_fract_z
Ba1 0.000 0.000 0.000
Pt1 0.500 0.500 0.500
Se1 0.000 0.500 0.500
Br1 0.500 0.500 0.000
```

Computed properties:
Formation energy from raw total energies, kJ/mol of atoms: -82.85
E, eV/atom: -4.180
Crystal system: tetragonal
Relative energy among the computed polymorphs, eV per formula unit: 0.00

=====

Question: E of number 1 (Ba8PtRh3Br4)?
Answer: -4.153 eV/atom